# Sr4LiDy3Se8 GGA-PBE relaxed
data_Sr4LiDy3Se8
_chemical_formula_sum 'Sr12 Li3 Dy9 Se24'
_cell_length_a 8.4519
_cell_length_b 8.4519
_cell_length_c 20.9564
_cell_angle_alpha 90.00
_cell_angle_beta 90.00
_cell_angle_gamma 120.00
_space_group_name_H-M_alt 'R -3 m'
_space_group_IT_number 166
_space_group_name_Hall '-R 3 2"'
loop_
_atom_site_label
_atom_site_type_symbol
_atom_site_fract_x
_atom_site_fract_y
_atom_site_fract_z
_atom_site_occupancy
Sr1 Sr 0.0000 0.0000 0.0000 1
Sr2 Sr 0.0000 0.5000 0.0000 1
Li1 Li 0.0000 0.0000 0.5000 1
Dy1 Dy 0.0000 0.5000 0.5000 1
Se1 Se 0.0000 0.0000 0.2433 1
Se2 Se 0.0006 0.5003 0.7577 1
# Raw total energy in eV per atom: -5.0174
# Formation energy (no corrections) in eV/atom: -1.872
# Total magnetization in μB/cell: 0.0

# SrLiDySe3 GGA-PBE relaxed
data_SrLiDySe3
_chemical_formula_sum 'Sr2 Li2 Dy2 Se6'
_cell_length_a 8.653
_cell_length_b 4.164
_cell_length_c 9.050
_cell_angle_alpha 90.00
_cell_angle_beta 103.56
_cell_angle_gamma 90.00
_space_group_name_H-M_alt 'P 1 21/m 1'
_space_group_IT_number 11
_space_group_name_Hall '-P 2yb'
loop_
_atom_site_label
_atom_site_type_symbol
_atom_site_fract_x
_atom_site_fract_y
_atom_site_fract_z
_atom_site_occupancy
Sr1 Sr 0.188 0.250 0.237 1
Li1 Li 0.085 0.250 0.587 1
Dy1 Dy 0.330 0.750 0.835 1
Se1 Se 0.110 0.250 0.869 1
Se2 Se 0.216 0.750 0.513 1
Se3 Se 0.439 0.750 0.166 1
# Raw total energy in eV per atom: -4.8974
# Formation energy (no corrections) in eV/atom: -1.789
# Total magnetization in μB/cell: 0.0

# Sr3LiDy2Se6 GGA-PBE relaxed
data_Sr3LiDy2Se6
_chemical_formula_sum 'Sr6 Li2 Dy4 Se12'
_cell_length_a 7.336
_cell_length_b 12.702
_cell_length_c 7.392
_cell_angle_alpha 90.00
_cell_angle_beta 109.30
_cell_angle_gamma 90.00
_space_group_name_H-M_alt 'C 1 2/m 1'
_space_group_IT_number 12
_space_group_name_Hall '-C 2y'
loop_
_atom_site_label
_atom_site_type_symbol
_atom_site_fract_x
_atom_site_fract_y
_atom_site_fract_z
_atom_site_occupancy
Sr1 Sr 0.000 0.000 0.000 1
Sr2 Sr 0.000 0.335 0.000 1
Li1 Li 0.000 0.500 0.500 1
Dy1 Dy 0.000 0.167 0.500 1
Se1 Se 0.240 0.000 0.726 1
Se2 Se 0.244 0.332 0.728 1
# Raw total energy in eV per atom: -4.9525
# Formation energy (no corrections) in eV/atom: -1.863
# Total magnetization in μB/cell: 0.0

# Li3Tb2DySe6 GGA-PBE relaxed
data_Li3Tb2DySe6
_chemical_formula_sum 'Li6 Tb4 Dy2 Se12'
_cell_length_a 7.070
_cell_length_b 12.245
_cell_length_c 6.915
_cell_angle_alpha 90.00
_cell_angle_beta 109.94
_cell_angle_gamma 90.00
_space_group_name_H-M_alt 'C 1 2/m 1'
_space_group_IT_number 12
_space_group_name_Hall '-C 2y'
loop_
_atom_site_label
_atom_site_type_symbol
_atom_site_fract_x
_atom_site_fract_y
_atom_site_fract_z
_atom_site_occupancy
Li1 Li 0.000 0.000 0.000 1
Li2 Li 0.000 0.334 0.000 1
Tb1 Tb 0.000 0.167 0.500 1
Dy1 Dy 0.000 0.500 0.500 1
Se1 Se 0.248 0.500 0.246 1
Se2 Se 0.249 0.166 0.246 1
# Raw total energy in eV per atom: -5.0731
# Formation energy (no corrections) in eV/atom: -1.697
# Total magnetization in μB/cell: 0.0

no.,volume (Å³/atom)
1,27.0
2,26.4
3,27.1
4,23.4